Entry 1:
## Ni2SbBr (PBE-GGA)

Data for a relaxed Ni2SbBr crystal.

total DFT energy (no corrections): -62.46 eV for the cell shown
formation energy from raw total energies: 0.436 eV per atom
ΔE to the lowest computed polymorph: 178.2 kJ/mol of formula units
magnetization: 0.00 μB/f.u.
D(E_F): 2.683 states/eV/f.u.

```
Ni2SbBr
1.0
6.489 0.000 0.000
0.000 6.489 0.000
0.000 0.000 6.489
Ni Sb Br
8 4 4
direct
0.250 0.250 0.250
0.250 0.250 0.750
0.250 0.750 0.250
0.250 0.750 0.750
0.750 0.250 0.250
0.750 0.250 0.750
0.750 0.750 0.250
0.750 0.750 0.750
0.000 0.000 0.000
0.000 0.500 0.500
0.500 0.000 0.500
0.500 0.500 0.000
0.000 0.000 0.500
0.000 0.500 0.000
0.500 0.000 0.000
0.500 0.500 0.500
```

***

Entry 2:
## Fe2Ir (PBE-GGA)

Data for a relaxed Fe2Ir crystal.

total DFT energy (no corrections): -99.72 eV for the cell shown
DFT formation energy: 0.285 eV per atom
magnetization: 5.43 μB/f.u.
D(E_F): 3.000 states/eV/f.u.

```
Fe2Ir
1.0
5.791 0.000 0.000
0.000 5.791 0.000
0.000 0.000 5.093
Fe Ir
8 4
direct
0.149 0.351 0.000
0.149 0.649 0.500
0.351 0.149 0.500
0.351 0.851 0.000
0.649 0.149 0.000
0.649 0.851 0.500
0.851 0.351 0.500
0.851 0.649 0.000
0.000 0.000 0.250
0.000 0.000 0.750
0.500 0.500 0.250
0.500 0.500 0.750
```

***

Entry 3:
## CoOs4Ru (PBE-GGA)

Data for a relaxed CoOs4Ru crystal.

total DFT energy (no corrections): -56.03 eV for the cell shown
DFT formation energy: 0.878 eV per atom
magnetization: 2.25 μB/f.u.
D(E_F): 11.245 states/eV/f.u.

```
CoOs4Ru
1.0
0.000 3.587 3.587
3.587 0.000 3.587
3.587 3.587 0.000
Co Os Ru
1 4 1
direct
0.000 0.000 0.000
0.125 0.625 0.625
0.625 0.125 0.625
0.625 0.625 0.125
0.625 0.625 0.625
0.250 0.250 0.250
```

***

Entry 4:
## Tb5PmTmTh2 (PBE-GGA)

Data for a relaxed Tb5PmTmTh2 crystal.

total DFT energy (no corrections): -88.32 eV for the cell shown
DFT formation energy: 0.339 eV per atom
magnetization: 0.00 μB/f.u.
D(E_F): 12.398 states/eV/f.u.

```
Tb5PmTmTh2
1.0
-4.421 4.421 7.690
4.421 -4.421 7.690
4.421 4.421 -7.690
Tb Pm Tm Th
10 2 2 4
direct
0.000 0.000 0.000
0.071 0.571 0.918
0.153 0.071 0.500
0.347 0.847 0.918
0.429 0.347 0.500
0.500 0.500 0.000
0.571 0.653 0.500
0.653 0.153 0.082
0.847 0.929 0.500
0.929 0.429 0.082
0.250 0.250 0.000
0.750 0.750 0.000
0.250 0.750 0.500
0.750 0.250 0.500
0.119 0.381 0.500
0.381 0.881 0.262
0.619 0.119 0.738
0.881 0.619 0.500
```